Arrangement a

Density functional theory data (SCAN) for a PBEsol-optimized structure of LaCuRu2.

Values from the calculation:
As for the symmetry: P4mm (99). The value obtained for the total magnetization is 0.0 μB/f.u.

a b c (Å): 2.9090 2.9090 7.7863
angles (deg): 90.00 90.00 90.00
Atoms (fractional coordinates):
Cu1 0.0000 0.0000 0.4540
La1 0.5000 0.5000 0.7440
Ru1 0.0000 0.0000 0.0539
Ru2 0.5000 0.5000 0.2481

Arrangement b

Density functional theory data (SCAN) for a PBEsol-optimized structure of LaCuRu2.

Values from the calculation:
As for the symmetry: F-43m (216). The value obtained for the total magnetization is 0.0 μB/f.u.

a b c (Å): 4.5510 4.5510 4.5510
angles (deg): 60.00 60.00 60.00
Atoms (fractional coordinates):
Cu1 0.5000 0.5000 0.5000
La1 0.2500 0.2500 0.2500
Ru1 0.0000 0.0000 0.0000
Ru2 0.7500 0.7500 0.7500

The structure with the least stability is arrangement b.

Arrangement a

Density functional theory data (SCAN) for a PBEsol-optimized structure of La2ScCu.

Values from the calculation:
As for the symmetry: Pmmm (47). The value obtained for the total magnetization is 0.0 μB/f.u.

a b c (Å): 3.4785 5.2501 5.3037
angles (deg): 90.00 90.00 90.00
Atoms (fractional coordinates):
Cu1 0.0000 0.5000 0.5000
La1 0.0000 0.0000 0.0000
La2 0.5000 0.0000 0.5000
Sc1 0.5000 0.5000 0.0000

Arrangement b

Density functional theory data (SCAN) for a PBEsol-optimized structure of La2ScCu.

Values from the calculation:
As for the symmetry: P4mm (99). The value obtained for the total magnetization is 0.0 μB/f.u.

a b c (Å): 3.4567 3.4567 8.3975
angles (deg): 90.00 90.00 90.00
Atoms (fractional coordinates):
Sc1 0.0000 0.0000 0.5629
Cu1 0.5000 0.5000 0.7142
La1 0.0000 0.0000 0.9508
La2 0.5000 0.5000 0.2721

The structure with the least stability is arrangement a.

Arrangement a

Density functional theory data (SCAN) for a PBEsol-optimized structure of La2ScCu.

Values from the calculation:
As for the symmetry: Fm-3m (225). The value obtained for the total magnetization is 0.0 μB/f.u.

a b c (Å): 5.2441 5.2441 5.2441
angles (deg): 60.00 60.00 60.00
Atoms (fractional coordinates):
Cu1 0.0000 0.0000 0.0000
La1 0.2500 0.2500 0.2500
La2 0.7500 0.7500 0.7500
Sc1 0.5000 0.5000 0.5000

Arrangement b

Density functional theory data (SCAN) for a PBEsol-optimized structure of La2ScCu.

Values from the calculation:
As for the symmetry: Imm2 (44). The value obtained for the total magnetization is 0.0 μB/f.u.

a b c (Å): 3.5482 5.2867 6.3015
angles (deg): 114.80 106.35 90.00
Atoms (fractional coordinates):
Cu1 0.2300 0.2300 0.4600
La1 0.9659 0.4659 0.9317
La2 0.7563 0.7563 0.5126
Sc1 0.5479 0.0479 0.0957

The structure with the least stability is arrangement a.

Arrangement a

Density functional theory data (SCAN) for a PBEsol-optimized structure of SrLaCu2.

Values from the calculation:
As for the symmetry: C2/m (12). The value obtained for the total magnetization is 0.0 μB/f.u.

a b c (Å): 4.2184 4.2252 7.5567
angles (deg): 106.14 90.00 119.95
Atoms (fractional coordinates):
Cu1 0.7431 0.4861 0.7291
Cu2 0.2569 0.5139 0.2709
La1 0.0000 0.0000 0.5000
Sr1 0.5000 0.0000 0.0000

Arrangement b

Density functional theory data (SCAN) for a PBEsol-optimized structure of SrLaCu2.

Values from the calculation:
As for the symmetry: P4/mmm (123). The value obtained for the total magnetization is 0.0 μB/f.u.

a b c (Å): 3.6548 3.6548 7.3057
angles (deg): 90.00 90.00 90.00
Atoms (fractional coordinates):
Sr1 0.5000 0.5000 0.5000
Cu1 0.0000 0.0000 0.7948
Cu2 0.0000 0.0000 0.2052
La1 0.5000 0.5000 0.0000

The structure with the least stability is arrangement a.

Arrangement a

Density functional theory data (SCAN) for a PBEsol-optimized structure of SrLaCu2.

Values from the calculation:
As for the symmetry: R3m (160). The value obtained for the total magnetization is 0.2 μB/f.u.

a b c (Å): 4.2147 4.2147 7.7334
angles (deg): 74.19 74.19 60.00
Atoms (fractional coordinates):
Sr1 0.2851 0.2851 0.1447
Cu1 0.0455 0.0455 0.8634
Cu2 0.7117 0.7117 0.8649
La1 0.4577 0.4577 0.6270

Arrangement b

Density functional theory data (SCAN) for a PBEsol-optimized structure of SrLaCu2.

Values from the calculation:
As for the symmetry: Amm2 (38). The value obtained for the total magnetization is 0.0 μB/f.u.

a b c (Å): 4.0316 4.4810 5.9127
angles (deg): 90.00 109.93 90.00
Atoms (fractional coordinates):
Sr1 0.3940 0.5000 0.7881
Cu1 0.8068 0.0000 0.6135
Cu2 0.6854 0.5000 0.3709
La1 0.1168 0.0000 0.2337

The structure with the least stability is arrangement b.

Arrangement a

Density functional theory data (SCAN) for a PBEsol-optimized structure of LaYCu2.

Values from the calculation:
As for the symmetry: Fm-3m (225). The value obtained for the total magnetization is 0.0 μB/f.u.

a b c (Å): 4.9625 4.9625 4.9625
angles (deg): 60.00 60.00 60.00
Atoms (fractional coordinates):
Y1 0.5000 0.5000 0.5000
Cu1 0.2500 0.2500 0.2500
Cu2 0.7500 0.7500 0.7500
La1 0.0000 0.0000 0.0000

Arrangement b

Density functional theory data (SCAN) for a PBEsol-optimized structure of LaYCu2.

Values from the calculation:
As for the symmetry: Pm (6). The value obtained for the total magnetization is 0.0 μB/f.u.

a b c (Å): 3.8141 4.4476 5.5674
angles (deg): 90.00 110.27 90.00
Atoms (fractional coordinates):
Y1 0.2357 0.5000 0.8473
Cu1 0.8056 0.0000 0.9873
Cu2 0.9393 0.5000 0.2523
La1 0.5194 0.0000 0.4132

Arrangement c

Density functional theory data (SCAN) for a PBEsol-optimized structure of LaYCu2.

Values from the calculation:
As for the symmetry: P4/mmm (123). The value obtained for the total magnetization is 0.0 μB/f.u.

a b c (Å): 3.4884 4.9597 4.9597
angles (deg): 90.00 90.00 90.00
Atoms (fractional coordinates):
Y1 0.5000 0.0000 0.0000
Cu1 0.0000 0.0000 0.5000
Cu2 0.0000 0.5000 0.0000
La1 0.5000 0.5000 0.5000

The structure with the least stability is arrangement a.

Arrangement a

Density functional theory data (SCAN) for a PBEsol-optimized structure of LaY2Cu.

Values from the calculation:
As for the symmetry: I4/mmm (139). The value obtained for the total magnetization is 0.0 μB/f.u.

a b c (Å): 4.5342 4.5342 5.9453
angles (deg): 112.42 112.42 90.00
Atoms (fractional coordinates):
Cu1 0.5000 0.5000 0.0000
La1 0.0000 0.0000 0.0000
Y1 0.7500 0.2500 0.5000
Y2 0.2500 0.7500 0.5000

Arrangement b

Density functional theory data (SCAN) for a PBEsol-optimized structure of LaY2Cu.

Values from the calculation:
As for the symmetry: P4/mmm (123). The value obtained for the total magnetization is 0.0 μB/f.u.

a b c (Å): 3.4852 3.4852 8.6455
angles (deg): 90.00 90.00 90.00
Atoms (fractional coordinates):
Y1 0.0000 0.0000 0.8096
Y2 0.0000 0.0000 0.1904
Cu1 0.5000 0.5000 0.0000
La1 0.5000 0.5000 0.5000

Arrangement c

Density functional theory data (SCAN) for a PBEsol-optimized structure of LaY2Cu.

Values from the calculation:
As for the symmetry: Pmmm (47). The value obtained for the total magnetization is 0.0 μB/f.u.

a b c (Å): 3.6360 5.3049 5.3884
angles (deg): 90.00 90.00 90.00
Atoms (fractional coordinates):
Cu1 0.5000 0.5000 0.0000
La1 0.0000 0.5000 0.5000
Y1 0.0000 0.0000 0.0000
Y2 0.5000 0.0000 0.5000

Arrangement d

Density functional theory data (SCAN) for a PBEsol-optimized structure of LaY2Cu.

Values from the calculation:
As for the symmetry: Immm (71). The value obtained for the total magnetization is 0.0 μB/f.u.

a b c (Å): 3.5882 5.3866 6.4059
angles (deg): 114.86 106.26 90.00
Atoms (fractional coordinates):
Y1 0.7945 0.7945 0.5890
Y2 0.2055 0.2055 0.4110
Cu1 0.5000 0.0000 0.0000
La1 0.0000 0.5000 0.0000

The structure with the least stability is arrangement a.